Compound: Sm6Rh2Au
Source: the Alexandria database
Functional: GGA-PBE
Structure: relaxed

Unit cell a=8.574 b=8.574 c=8.574 alpha=113.43 beta=109.98 gamma=105.11
Positions (direct):
Sm  0.040  0.234  0.805
Sm  0.177  0.285  0.462
Sm  0.177  0.715  0.892
Sm  0.331  0.027  0.696
Sm  0.331  0.635  0.304
Sm  0.429  0.234  0.195
Sm  0.571  0.766  0.805
Sm  0.669  0.365  0.696
Sm  0.669  0.973  0.304
Sm  0.823  0.285  0.108
Sm  0.823  0.715  0.538
Sm  0.960  0.766  0.195
Rh  0.132  0.632  0.500
Rh  0.338  0.000  0.338
Rh  0.662  0.000  0.662
Rh  0.868  0.368  0.500
Au  0.000  0.000  0.000
Au  0.500  0.500  0.000

Total energy ... -5.70 eV/atom
Density ... 8.98 g/cm³
Energy relative to the elements ... -0.5529 eV per atom
Symmetry ... No. 71

Compound: Sm3Rh2Au
Source: the Alexandria database
Functional: GGA-PBE
Structure: relaxed

Unit cell a=3.534 b=3.534 c=10.859 alpha=90.00 beta=90.00 gamma=90.00
Positions (direct):
Sm  0.000  0.000  0.000
Sm  0.000  0.000  0.318
Sm  0.000  0.000  0.682
Rh  0.500  0.500  0.163
Rh  0.500  0.500  0.837
Au  0.500  0.500  0.500

Total energy ... -6.10 eV/atom
Density ... 10.46 g/cm³
Energy relative to the elements ... -0.7443 eV per atom
Symmetry ... No. 123

Compound: Sm2Rh2Au
Source: the Alexandria database
Functional: GGA-PBE
Structure: relaxed

Unit cell a=7.524 b=7.524 c=3.850 alpha=90.00 beta=90.00 gamma=149.42
Positions (direct):
Sm  0.134  0.866  0.000
Sm  0.866  0.134  0.000
Rh  0.310  0.690  0.500
Rh  0.690  0.310  0.500
Au  0.500  0.500  0.500

Total energy ... -6.21 eV/atom
Energy relative to the lowest polymorph listed for this composition ... 17.3 meV per atom
Density ... 10.54 g/cm³
Energy relative to the elements ... -0.7277 eV per atom
Symmetry ... No. 65

Compound: Sm7Rh2Au2
Source: the Alexandria database
Functional: GGA-PBE
Structure: relaxed

Unit cell a=6.802 b=6.802 c=7.159 alpha=90.00 beta=90.00 gamma=108.55
Positions (direct):
Sm  0.000  0.000  0.000
Sm  0.000  0.500  0.260
Sm  0.000  0.500  0.740
Sm  0.500  0.000  0.260
Sm  0.500  0.000  0.740
Sm  0.500  0.500  0.253
Sm  0.500  0.500  0.747
Rh  0.291  0.709  0.000
Rh  0.709  0.291  0.000
Au  0.185  0.185  0.500
Au  0.815  0.815  0.500

Total energy ... -5.40 eV/atom
Energy relative to the lowest polymorph listed for this composition ... 119.7 meV per atom
Density ... 8.74 g/cm³
Energy relative to the elements ... -0.4616 eV per atom
Symmetry ... No. 65

Compound: Sm3RhAu2
Source: the Alexandria database
Functional: GGA-PBE
Structure: relaxed

Unit cell a=12.237 b=4.545 c=10.875 alpha=90.00 beta=90.00 gamma=90.00
Positions (direct):
Sm  0.050  0.250  0.122
Sm  0.111  0.750  0.558
Sm  0.243  0.250  0.790
Sm  0.257  0.750  0.290
Sm  0.389  0.250  0.058
Sm  0.450  0.750  0.622
Sm  0.550  0.250  0.378
Sm  0.611  0.750  0.942
Sm  0.743  0.250  0.710
Sm  0.757  0.750  0.210
Sm  0.889  0.250  0.442
Sm  0.950  0.750  0.878
Rh  0.124  0.250  0.370
Rh  0.376  0.750  0.870
Rh  0.624  0.250  0.130
Rh  0.876  0.750  0.630
Au  0.007  0.250  0.703
Au  0.187  0.750  0.008
Au  0.313  0.250  0.508
Au  0.493  0.750  0.203
Au  0.507  0.250  0.797
Au  0.687  0.750  0.492
Au  0.813  0.250  0.992
Au  0.993  0.750  0.297

Total energy ... -5.41 eV/atom
Energy relative to the lowest polymorph listed for this composition ... 0.0 meV per atom
Density ... 10.41 g/cm³
Energy relative to the elements ... -0.7353 eV per atom
Symmetry ... No. 62

Compound: Sm8RhAu2
Source: the Alexandria database
Functional: GGA-PBE
Structure: relaxed

Unit cell a=9.128 b=9.128 c=6.123 alpha=102.59 beta=102.59 gamma=131.50
Positions (direct):
Sm  0.000  0.000  0.000
Sm  0.116  0.885  0.472
Sm  0.323  0.562  0.139
Sm  0.466  0.466  0.677
Sm  0.533  0.926  0.800
Sm  0.562  0.323  0.139
Sm  0.885  0.116  0.472
Sm  0.926  0.533  0.800
Rh  0.718  0.718  0.479
Au  0.449  0.988  0.297
Au  0.988  0.449  0.297

Total energy ... -5.06 eV/atom
Energy relative to the lowest polymorph listed for this composition ... 65.1 meV per atom
Density ... 8.72 g/cm³
Energy relative to the elements ... -0.3651 eV per atom
Symmetry ... No. 8

Compound: Sm3RhAu2
Source: the Alexandria database
Functional: GGA-PBE
Structure: relaxed

Unit cell a=7.456 b=7.456 c=8.181 alpha=105.94 beta=105.94 gamma=47.02
Positions (direct):
Sm  0.001  0.999  0.750
Sm  0.350  0.353  0.926
Sm  0.353  0.350  0.426
Sm  0.647  0.650  0.574
Sm  0.650  0.647  0.074
Sm  0.999  0.001  0.250
Rh  0.499  0.501  0.250
Rh  0.501  0.499  0.750
Au  0.173  0.175  0.587
Au  0.175  0.173  0.087
Au  0.825  0.827  0.913
Au  0.827  0.825  0.413

Total energy ... -5.38 eV/atom
Energy relative to the lowest polymorph listed for this composition ... 32.9 meV per atom
Density ... 9.92 g/cm³
Energy relative to the elements ... -0.7024 eV per atom
Symmetry ... No. 15

Compound: SmRh2Au
Source: the Alexandria database
Functional: GGA-PBE
Structure: relaxed

Unit cell a=4.252 b=4.252 c=3.999 alpha=90.00 beta=90.00 gamma=90.00
Positions (direct):
Sm  0.000  0.000  0.000
Rh  0.000  0.500  0.500
Rh  0.500  0.000  0.500
Au  0.500  0.500  0.000

Total energy ... -6.18 eV/atom
Density ... 12.70 g/cm³
Energy relative to the elements ... -0.5026 eV per atom
Symmetry ... No. 123

Compound: SmRhAu4
Source: the Alexandria database
Functional: GGA-PBE
Structure: relaxed

Unit cell a=5.503 b=5.503 c=5.503 alpha=60.00 beta=60.00 gamma=60.00
Positions (direct):
Sm  0.000  0.000  0.000
Rh  0.250  0.250  0.250
Au  0.127  0.624  0.624
Au  0.624  0.127  0.624
Au  0.624  0.624  0.127
Au  0.624  0.624  0.624

Total energy ... -4.51 eV/atom
Density ... 14.67 g/cm³
Energy relative to the elements ... -0.3125 eV per atom
Symmetry ... No. 216

Compound: Sm4Rh2Au
Source: the Alexandria database
Functional: GGA-PBE
Structure: relaxed

Unit cell a=10.822 b=10.822 c=10.822 alpha=24.12 beta=24.12 gamma=24.12
Positions (direct):
Sm  0.116  0.116  0.116
Sm  0.297  0.297  0.297
Sm  0.703  0.703  0.703
Sm  0.884  0.884  0.884
Rh  0.407  0.407  0.407
Rh  0.593  0.593  0.593
Au  0.500  0.500  0.500

Total energy ... -5.90 eV/atom
Energy relative to the lowest polymorph listed for this composition ... 37.5 meV per atom
Density ... 8.96 g/cm³
Energy relative to the elements ... -0.6393 eV per atom
Symmetry ... No. 166

Compound: Sm12RhAu6
Source: the Alexandria database
Functional: GGA-PBE
Structure: relaxed

Unit cell a=8.511 b=8.511 c=8.511 alpha=98.65 beta=98.65 gamma=98.65
Positions (direct):
Sm  0.038  0.933  0.682
Sm  0.067  0.318  0.962
Sm  0.183  0.577  0.426
Sm  0.318  0.962  0.067
Sm  0.423  0.574  0.817
Sm  0.426  0.183  0.577
Sm  0.574  0.817  0.423
Sm  0.577  0.426  0.183
Sm  0.682  0.038  0.933
Sm  0.817  0.423  0.574
Sm  0.933  0.682  0.038
Sm  0.962  0.067  0.318
Rh  0.000  0.000  0.000
Au  0.132  0.305  0.624
Au  0.305  0.624  0.132
Au  0.376  0.868  0.695
Au  0.624  0.132  0.305
Au  0.695  0.376  0.868
Au  0.868  0.695  0.376

Total energy ... -4.88 eV/atom
Density ... 8.65 g/cm³
Energy relative to the elements ... -0.4732 eV per atom
Symmetry ... No. 148

Compound: SmRhAu2
Source: the Alexandria database
Functional: GGA-PBE
Structure: relaxed

Unit cell a=5.208 b=5.208 c=5.208 alpha=53.01 beta=53.01 gamma=53.01
Positions (direct):
Sm  0.000  0.000  0.000
Rh  0.500  0.500  0.500
Au  0.221  0.221  0.221
Au  0.779  0.779  0.779

Total energy ... -5.10 eV/atom
Density ... 12.87 g/cm³
Energy relative to the elements ... -0.4412 eV per atom
Symmetry ... No. 166

Compound: Sm7Rh2Au2
Source: the Alexandria database
Functional: GGA-PBE
Structure: relaxed

Unit cell a=9.480 b=9.480 c=9.480 alpha=155.96 beta=67.07 gamma=118.45
Positions (direct):
Sm  0.000  0.000  0.000
Sm  0.098  0.407  0.690
Sm  0.170  0.786  0.384
Sm  0.402  0.786  0.616
Sm  0.521  0.628  0.893
Sm  0.717  0.407  0.310
Sm  0.735  0.628  0.107
Rh  0.381  0.381  0.000
Rh  0.795  0.295  0.500
Au  0.355  0.119  0.236
Au  0.883  0.119  0.764

Total energy ... -5.52 eV/atom
Energy relative to the lowest polymorph listed for this composition ... 0.0 meV per atom
Density ... 9.06 g/cm³
Energy relative to the elements ... -0.5813 eV per atom
Symmetry ... No. 44

Compound: Sm12Rh6Au
Source: the Alexandria database
Functional: GGA-PBE
Structure: relaxed

Unit cell a=8.403 b=8.403 c=8.403 alpha=101.42 beta=101.42 gamma=101.42
Positions (direct):
Sm  0.065  0.922  0.669
Sm  0.078  0.331  0.935
Sm  0.175  0.570  0.417
Sm  0.331  0.935  0.078
Sm  0.417  0.175  0.570
Sm  0.430  0.583  0.825
Sm  0.570  0.417  0.175
Sm  0.583  0.825  0.430
Sm  0.669  0.065  0.922
Sm  0.825  0.430  0.583
Sm  0.922  0.669  0.065
Sm  0.935  0.078  0.331
Rh  0.138  0.309  0.615
Rh  0.309  0.615  0.138
Rh  0.385  0.862  0.691
Rh  0.615  0.138  0.309
Rh  0.691  0.385  0.862
Rh  0.862  0.691  0.385
Au  0.000  0.000  0.000

Total energy ... -5.99 eV/atom
Energy relative to the lowest polymorph listed for this composition ... 30.1 meV per atom
Density ... 7.87 g/cm³
Energy relative to the elements ... -0.5201 eV per atom
Symmetry ... No. 148

Compound: Sm6Rh3Au
Source: the Alexandria database
Functional: GGA-PBE
Structure: relaxed

Unit cell a=8.935 b=8.935 c=7.207 alpha=90.00 beta=90.00 gamma=104.54
Positions (direct):
Sm  0.011  0.989  0.500
Sm  0.102  0.545  0.548
Sm  0.232  0.768  0.152
Sm  0.299  0.362  0.101
Sm  0.362  0.299  0.601
Sm  0.455  0.898  0.548
Sm  0.545  0.102  0.048
Sm  0.638  0.701  0.101
Sm  0.701  0.638  0.601
Sm  0.768  0.232  0.652
Sm  0.898  0.455  0.048
Sm  0.989  0.011  0.000
Rh  0.072  0.293  0.797
Rh  0.293  0.072  0.297
Rh  0.401  0.599  0.380
Rh  0.599  0.401  0.880
Rh  0.707  0.928  0.797
Rh  0.928  0.707  0.297
Au  0.168  0.832  0.769
Au  0.832  0.168  0.269

Total energy ... -5.92 eV/atom
Energy relative to the lowest polymorph listed for this composition ... 66.9 meV per atom
Density ... 8.39 g/cm³
Energy relative to the elements ... -0.5585 eV per atom
Symmetry ... No. 36

Compound: Sm8Rh3Au2
Source: the Alexandria database
Functional: GGA-PBE
Structure: relaxed

Unit cell a=8.690 b=4.978 c=8.703 alpha=90.00 beta=109.45 gamma=90.00
Positions (direct):
Sm  0.119  0.000  0.381
Sm  0.134  0.500  0.873
Sm  0.373  0.500  0.634
Sm  0.380  0.000  0.120
Sm  0.620  0.000  0.880
Sm  0.627  0.500  0.366
Sm  0.866  0.500  0.127
Sm  0.881  0.000  0.619
Rh  0.248  0.000  0.748
Rh  0.500  0.500  0.000
Rh  0.752  0.000  0.252
Au  0.244  0.500  0.256
Au  0.756  0.500  0.744

Total energy ... -5.65 eV/atom
Density ... 8.91 g/cm³
Energy relative to the elements ... -0.5458 eV per atom
Symmetry ... No. 10

Compound: Sm5Rh2Au2
Source: the Alexandria database
Functional: GGA-PBE
Structure: relaxed

Unit cell a=8.633 b=8.633 c=7.735 alpha=90.00 beta=90.00 gamma=52.46
Positions (direct):
Sm  0.000  0.000  0.000
Sm  0.041  0.700  0.670
Sm  0.200  0.541  0.170
Sm  0.300  0.959  0.670
Sm  0.459  0.800  0.170
Sm  0.500  0.500  0.500
Sm  0.541  0.200  0.830
Sm  0.700  0.041  0.330
Sm  0.800  0.459  0.830
Sm  0.959  0.300  0.330
Rh  0.132  0.868  0.368
Rh  0.368  0.632  0.868
Rh  0.632  0.368  0.132
Rh  0.868  0.132  0.632
Au  0.207  0.207  0.000
Au  0.293  0.293  0.500
Au  0.707  0.707  0.500
Au  0.793  0.793  0.000

Total energy ... -5.71 eV/atom
Density ... 9.82 g/cm³
Energy relative to the elements ... -0.7223 eV per atom
Symmetry ... No. 64

Compound: Sm6Rh3Au
Source: the Alexandria database
Functional: GGA-PBE
Structure: relaxed

Unit cell a=11.856 b=4.114 c=11.875 alpha=90.00 beta=108.62 gamma=90.00
Positions (direct):
Sm  0.044  0.250  0.375
Sm  0.100  0.750  0.960
Sm  0.233  0.250  0.783
Sm  0.270  0.750  0.271
Sm  0.395  0.250  0.562
Sm  0.454  0.250  0.111
Sm  0.546  0.750  0.889
Sm  0.605  0.750  0.438
Sm  0.730  0.250  0.729
Sm  0.767  0.750  0.217
Sm  0.900  0.250  0.040
Sm  0.956  0.750  0.625
Rh  0.011  0.750  0.197
Rh  0.332  0.750  0.954
Rh  0.434  0.250  0.342
Rh  0.566  0.750  0.658
Rh  0.668  0.250  0.046
Rh  0.989  0.250  0.803
Au  0.194  0.750  0.564
Au  0.806  0.250  0.436

Total energy ... -5.99 eV/atom
Energy relative to the lowest polymorph listed for this composition ... 0.0 meV per atom
Density ... 8.52 g/cm³
Energy relative to the elements ... -0.6254 eV per atom
Symmetry ... No. 11

Compound: Sm4Rh2Au5
Source: the Alexandria database
Functional: GGA-PBE
Structure: relaxed

Unit cell a=7.383 b=3.767 c=9.018 alpha=90.00 beta=94.58 gamma=90.00
Positions (direct):
Sm  0.194  0.000  0.361
Sm  0.237  0.000  0.928
Sm  0.763  0.000  0.072
Sm  0.806  0.000  0.639
Rh  0.073  0.500  0.144
Rh  0.927  0.500  0.856
Au  0.172  0.500  0.640
Au  0.455  0.500  0.172
Au  0.500  0.500  0.500
Au  0.545  0.500  0.828
Au  0.828  0.500  0.360

Total energy ... -5.30 eV/atom
Density ... 11.91 g/cm³
Energy relative to the elements ... -0.7611 eV per atom
Symmetry ... No. 10

Compound: Sm12Rh6Au
Source: the Alexandria database
Functional: GGA-PBE
Structure: relaxed

Unit cell a=8.677 b=8.677 c=8.677 alpha=109.47 beta=109.47 gamma=109.47
Positions (direct):
Sm  0.115  0.814  0.301
Sm  0.186  0.301  0.487
Sm  0.186  0.699  0.885
Sm  0.301  0.115  0.814
Sm  0.301  0.487  0.186
Sm  0.487  0.186  0.301
Sm  0.513  0.814  0.699
Sm  0.699  0.513  0.814
Sm  0.699  0.885  0.186
Sm  0.814  0.301  0.115
Sm  0.814  0.699  0.513
Sm  0.885  0.186  0.699
Rh  0.133  0.633  0.500
Rh  0.367  0.500  0.867
Rh  0.500  0.133  0.633
Rh  0.500  0.867  0.367
Rh  0.633  0.500  0.133
Rh  0.867  0.367  0.500
Au  0.000  0.000  0.000

Total energy ... -6.02 eV/atom
Energy relative to the lowest polymorph listed for this composition ... 0.0 meV per atom
Density ... 8.65 g/cm³
Energy relative to the elements ... -0.5502 eV per atom
Symmetry ... No. 204